{
  "formula": "Pr2SiRh",
  "functional": "PBE-GGA",
  "state": "optimized geometry",
  "lattice": [[4.1643, 0.0000, 0.0000], [0.0000, 2.1821, 5.3804], [0.0000, -2.1821, 5.3804]],
  "species": ["Pr", "Pr", "Si", "Rh"],
  "fractional_positions": [[0.0000, 0.0000, 0.0000], [0.5000, 0.2826, 0.2826], [0.0000, 0.7035, 0.7035], [0.5000, 0.5691, 0.5691]],
  "formation_energy_uncorrected_ev_per_atom": -0.72,
  "density_g_cm3": 7.0,
  "dft_energy_ev_per_cell": -25.2,
  "total_magnetization_mub_per_cell": 0.000
}